No. 1
# PBE BaPd3Se, relaxed
data_BaPd3Se
_chemical_formula_sum 'Ba1 Pd3 Se1'
_cell_length_a 4.901
_cell_length_b 4.901
_cell_length_c 4.901
_cell_angle_alpha 90.00
_cell_angle_beta 90.00
_cell_angle_gamma 90.00
_symmetry_space_group_name_H-M 'P 1'
_symmetry_Int_Tables_number 1
_symmetry_space_group_name_Hall 'P 1'
loop_
_atom_site_label
_atom_site_fract_x
_atom_site_fract_y
_atom_site_fract_z
Ba1 0.000 0.000 0.000
Pd1 0.000 0.500 0.500
Pd2 0.500 0.000 0.500
Pd3 0.500 0.500 0.000
Se1 0.500 0.500 0.500
# calculated volume: 23.54 Å³/atom
# total energy: -4.725 eV per atom
# size of the total moment: 0.00 μB per formula unit
# calculated density: 7.55 Mg/m³
# formation energy from raw total energies: -0.53 eV/atom



No. 2
# PBE BaPdSe2, relaxed
data_BaPdSe2
_chemical_formula_sum 'Ba2 Pd2 Se4'
_cell_length_a 8.693
_cell_length_b 8.693
_cell_length_c 8.693
_cell_angle_alpha 141.27
_cell_angle_beta 141.27
_cell_angle_gamma 55.93
_symmetry_space_group_name_H-M 'P 1'
_symmetry_Int_Tables_number 1
_symmetry_space_group_name_Hall 'P 1'
loop_
_atom_site_label
_atom_site_fract_x
_atom_site_fract_y
_atom_site_fract_z
Ba1 0.000 0.000 0.000
Ba2 0.750 0.250 0.500
Pd1 0.250 0.750 0.500
Pd2 0.500 0.500 0.000
Se1 0.246 0.625 0.121
Se2 0.375 0.496 0.621
Se3 0.504 0.125 0.879
Se4 0.875 0.754 0.379
# calculated volume: 31.89 Å³/atom
# total energy: -4.385 eV per atom
# size of the total moment: 0.00 μB per formula unit
# calculated density: 5.23 Mg/m³
# formation energy from raw total energies: -0.86 eV/atom



No. 3
# PBE BaPdSe, relaxed
data_BaPdSe
_chemical_formula_sum 'Ba2 Pd2 Se2'
_cell_length_a 6.518
_cell_length_b 6.518
_cell_length_c 4.615
_cell_angle_alpha 110.69
_cell_angle_beta 110.69
_cell_angle_gamma 85.13
_symmetry_space_group_name_H-M 'P 1'
_symmetry_Int_Tables_number 1
_symmetry_space_group_name_Hall 'P 1'
loop_
_atom_site_label
_atom_site_fract_x
_atom_site_fract_y
_atom_site_fract_z
Ba1 0.236 0.764 0.000
Ba2 0.764 0.236 0.000
Pd1 0.324 0.324 0.317
Pd2 0.676 0.676 0.683
Se1 0.221 0.221 0.715
Se2 0.779 0.779 0.285
# calculated volume: 28.57 Å³/atom
# total energy: -4.704 eV per atom
# size of the total moment: 0.00 μB per formula unit
# calculated density: 6.25 Mg/m³
# formation energy from raw total energies: -1.17 eV/atom



No. 4
# PBE BaPd2Se2, relaxed
data_BaPd2Se2
_chemical_formula_sum 'Ba1 Pd2 Se2'
_cell_length_a 6.740
_cell_length_b 6.740
_cell_length_c 6.740
_cell_angle_alpha 142.02
_cell_angle_beta 142.02
_cell_angle_gamma 54.80
_symmetry_space_group_name_H-M 'P 1'
_symmetry_Int_Tables_number 1
_symmetry_space_group_name_Hall 'P 1'
loop_
_atom_site_label
_atom_site_fract_x
_atom_site_fract_y
_atom_site_fract_z
Ba1 0.000 0.000 0.000
Pd1 0.250 0.750 0.500
Pd2 0.750 0.250 0.500
Se1 0.367 0.367 0.000
Se2 0.633 0.633 0.000
# calculated volume: 23.03 Å³/atom
# total energy: -4.686 eV per atom
# size of the total moment: 0.00 μB per formula unit
# calculated density: 7.33 Mg/m³
# formation energy from raw total energies: -0.83 eV/atom



No. 5
# PBE Ba5PdSe4, relaxed
data_Ba5PdSe4
_chemical_formula_sum 'Ba5 Pd1 Se4'
_cell_length_a 16.999
_cell_length_b 16.999
_cell_length_c 16.999
_cell_angle_alpha 164.06
_cell_angle_beta 164.06
_cell_angle_gamma 22.62
_symmetry_space_group_name_H-M 'P 1'
_symmetry_Int_Tables_number 1
_symmetry_space_group_name_Hall 'P 1'
loop_
_atom_site_label
_atom_site_fract_x
_atom_site_fract_y
_atom_site_fract_z
Ba1 0.000 0.000 0.000
Ba2 0.200 0.200 0.000
Ba3 0.401 0.401 0.000
Ba4 0.599 0.599 0.000
Ba5 0.800 0.800 0.000
Pd1 0.500 0.500 0.000
Se1 0.100 0.100 0.000
Se2 0.300 0.300 0.000
Se3 0.700 0.700 0.000
Se4 0.900 0.900 0.000
# calculated volume: 37.04 Å³/atom
# total energy: -4.587 eV per atom
# size of the total moment: 0.00 μB per formula unit
# calculated density: 4.97 Mg/m³
# formation energy from raw total energies: -1.71 eV/atom



No. 6
# PBE BaPdSe, relaxed
data_BaPdSe
_chemical_formula_sum 'Ba2 Pd2 Se2'
_cell_length_a 5.458
_cell_length_b 5.458
_cell_length_c 9.594
_cell_angle_alpha 90.00
_cell_angle_beta 90.00
_cell_angle_gamma 120.00
_symmetry_space_group_name_H-M 'P 1'
_symmetry_Int_Tables_number 1
_symmetry_space_group_name_Hall 'P 1'
loop_
_atom_site_label
_atom_site_fract_x
_atom_site_fract_y
_atom_site_fract_z
Ba1 0.333 0.667 0.250
Ba2 0.667 0.333 0.750
Pd1 0.000 0.000 0.000
Pd2 0.000 0.000 0.500
Se1 0.000 0.000 0.250
Se2 0.000 0.000 0.750
# calculated volume: 41.26 Å³/atom
# total energy: -4.449 eV per atom
# size of the total moment: 0.00 μB per formula unit
# calculated density: 4.33 Mg/m³
# formation energy from raw total energies: -0.92 eV/atom